[1]
Material: LiFe2Pb
Method: DFT, PBE
State: optimized geometry

Properties
* uncorrected energy: -0.1962 hartree per atom
* ΔE_f: 6.86 kcal/mol of atoms
* size of the total moment: 5.147 Bohr magnetons per cell

a = 3.7682 Å, b = 3.7682 Å, c = 4.2951 Å
α = 90.00°, β = 90.00°, γ = 90.00°
With the nearest neighbours (Å) after each atom.
Element x y z (fractional)
Pb  0.0000  0.5000  0.5000  4 Li 2.66, 8 Fe 2.86
Li  0.5000  0.0000  0.5000  4 Pb 2.66, 8 Fe 2.86
Fe  0.5000  0.5000  0.0000  4 Fe 2.66, 4 Pb 2.86, 4 Li 2.86
Fe  0.0000  0.0000  0.0000  4 Fe 2.66, 4 Li 2.86, 4 Pb 2.86

[2]
Material: Tb3Pr2Y6Tm
Method: DFT, PBE
State: optimized geometry

Properties
* uncorrected energy: -0.2036 hartree per atom
* ΔE_f: 0.40 kcal/mol of atoms
* size of the total moment: 0.000 Bohr magnetons per cell

a = 6.2088 Å, b = 6.2088 Å, c = 11.8686 Å
α = 94.98°, β = 94.98°, γ = 119.97°
With the nearest neighbours (Å) after each atom.
Element x y z (fractional)
Pr  0.6665  0.3335  0.0000  3 Pr 3.58-3.59, 3 Tm 3.59, 6 Y 3.60-3.61
Pr  0.3335  0.6665  0.0000  3 Pr 3.58-3.59, 3 Tm 3.59, 6 Y 3.60-3.61
Y  0.7520  0.7520  0.2523  3 Tb 3.56, 6 Y 3.57-3.59, 1 Tm 3.60, 2 Pr 3.61
Tb  0.5000  0.5000  0.5000  6 Y 3.56, 6 Tb 3.58-3.59
Tm  0.0000  0.0000  0.0000  6 Pr 3.59, 6 Y 3.60
Y  0.4162  0.0840  0.2519  3 Tb 3.56-3.57, 6 Y 3.57-3.59, 1 Tm 3.60, 2 Pr 3.60
Y  0.5838  0.9160  0.7481  3 Tb 3.56-3.57, 6 Y 3.57-3.59, 1 Tm 3.60, 2 Pr 3.60
Tb  0.8335  0.1665  0.5000  6 Y 3.56-3.57, 6 Tb 3.58-3.59
Y  0.0840  0.4162  0.2519  3 Tb 3.56-3.57, 6 Y 3.57-3.59, 1 Tm 3.60, 2 Pr 3.60
Y  0.2480  0.2480  0.7477  3 Tb 3.56, 6 Y 3.57-3.59, 1 Tm 3.60, 2 Pr 3.61
Tb  0.1665  0.8335  0.5000  6 Y 3.56-3.57, 6 Tb 3.58-3.59
Y  0.9160  0.5838  0.7481  3 Tb 3.56-3.57, 6 Y 3.57-3.59, 1 Tm 3.60, 2 Pr 3.60

[3]
Material: TbAgSnCl6
Method: DFT, PBE
State: optimized geometry

Properties
* uncorrected formation energy: -1.433 eV per atom
* uncorrected energy: -0.1448 hartree per atom
* size of the total moment: 0.000 Bohr magnetons per cell

a = 6.8863 Å, b = 6.8863 Å, c = 12.6599 Å
α = 90.00°, β = 90.00°, γ = 120.00°
With the nearest neighbours (Å) after each atom.
Element x y z (fractional)
Cl  0.6496  0.9874  0.8710  1 Tb 2.68, 1 Ag 2.78, 1 Sn 2.88
Cl  0.3378  0.9874  0.6290  1 Tb 2.68, 1 Ag 2.78, 1 Sn 2.88
Cl  0.6496  0.6622  0.6290  1 Tb 2.68, 1 Ag 2.78, 1 Sn 2.88
Sn  0.0000  0.0000  0.0000  6 Cl 2.88
Cl  0.3378  0.3504  0.8710  1 Tb 2.68, 1 Ag 2.78, 1 Sn 2.88
Cl  0.9874  0.6496  0.3710  1 Tb 2.68, 1 Ag 2.78, 1 Sn 2.88
Tb  0.6667  0.3333  0.2500  6 Cl 2.68
Cl  0.3504  0.3378  0.3710  1 Tb 2.68, 1 Ag 2.78, 1 Sn 2.88
Cl  0.3504  0.0126  0.1290  1 Tb 2.68, 1 Ag 2.78, 1 Sn 2.88
Ag  0.3333  0.6667  0.2500  6 Cl 2.78
Cl  0.0126  0.6622  0.8710  1 Tb 2.68, 1 Ag 2.78, 1 Sn 2.88
Cl  0.0126  0.3504  0.6290  1 Tb 2.68, 1 Ag 2.78, 1 Sn 2.88
Ag  0.6667  0.3333  0.7500  6 Cl 2.78
Cl  0.6622  0.0126  0.3710  1 Tb 2.68, 1 Ag 2.78, 1 Sn 2.88
Cl  0.9874  0.3378  0.1290  1 Tb 2.68, 1 Ag 2.78, 1 Sn 2.88
Tb  0.3333  0.6667  0.7500  6 Cl 2.68
Sn  0.0000  0.0000  0.5000  6 Cl 2.88
Cl  0.6622  0.6496  0.1290  1 Tb 2.68, 1 Ag 2.78, 1 Sn 2.88